Li7MgNi7O16, optimized geometry, DFT PBEsol; energy above the lowest structure with this stoichiometry = 0 meV per atom; uncorrected energy = -0.220 hartree per atom; space group = P-1 (2)
1.0
4.968 0.000 0.000
0.004 5.731 0.000
1.753 2.766 9.283
Li Mg Ni O
7 1 7 16
Cartesian
0.000 0.000 0.000 Li
2.469 4.275 6.986 Li
2.525 7.081 7.037 Li
3.350 5.647 4.673 Li
3.376 2.850 4.610 Li
4.201 1.416 2.246 Li
4.257 4.222 2.298 Li
0.877 1.383 4.642 Mg
0.879 4.249 4.642 Ni
1.718 2.808 2.320 Ni
1.770 5.657 2.338 Ni
2.449 1.436 0.000 Ni
4.277 7.061 9.283 Ni
4.956 2.840 6.945 Ni
5.008 5.689 6.963 Ni
1.511 2.907 5.827 O
1.536 5.597 5.820 O
1.019 1.233 1.240 O
1.093 4.269 1.264 O
2.490 1.368 3.364 O
2.519 4.312 3.423 O
3.493 2.879 8.159 O
3.584 5.760 8.147 O
3.142 2.737 1.136 O
3.233 5.619 1.124 O
4.206 4.185 5.861 O
4.236 7.129 5.919 O
5.633 4.228 8.019 O
5.707 7.265 8.044 O
5.190 2.900 3.464 O
5.214 5.591 3.456 O



LiMg3O4, optimized geometry, DFT PBEsol; uncorrected energy = -0.215 hartree per atom; space group = Pm-3m (221)
1.0
4.179 0.000 0.000
0.000 4.179 0.000
0.000 0.000 4.179
Li Mg O
1 3 4
Cartesian
0.000 0.000 0.000 Li
0.000 2.089 2.089 Mg
2.089 0.000 2.089 Mg
2.089 2.089 0.000 Mg
0.000 0.000 2.089 O
0.000 2.089 0.000 O
2.089 0.000 0.000 O
2.089 2.089 2.089 O



| no. | ΔE_f (raw) (eV/atom) |
| --- | --- |
| 1 | -1.385 |
| 2 | -2.323 |